The following is a DFT calculation (PBE) of a geometry-optimized Er2TiZnO6 structure.

a = 5.155 Å, b = 5.155 Å, c = 4.975 Å
α = 90.00°, β = 90.00°, γ = 90.00°
Sites, in units of the cell vectors:
Er 0.000 0.500 0.000
Er 0.500 0.000 0.000
Ti 0.000 0.000 0.600
Zn 0.500 0.500 0.565
O 0.000 0.000 0.230
O 0.243 0.243 0.746
O 0.243 0.757 0.746
O 0.500 0.500 0.181
O 0.757 0.243 0.746
O 0.757 0.757 0.746

As for the symmetry: P4mm (99). The energy relative to the elements, uncorrected is -2.84 eV per atom. As for the magnetic moment: 0.0 μB/f.u. The density of states at the Fermi level comes out at 0.00 states/eV/atom.